No. 1
Er3Ge2Se | GGA-PBE | optimized geometry

a b c (Å): 4.089 4.089 9.152
angles (deg): 102.91 102.91 90.00
Fractional coordinates of all 6 atoms:
Er  0.833  0.833  0.666
Er  0.167  0.167  0.334
Er  0.500  0.500  0.000
Ge  0.336  0.336  0.672
Ge  0.664  0.664  0.328
Se  0.000  0.000  0.000

Its formation energy (no corrections) is -1132 meV/atom. The total energy is -5.533 eV/atom. The density of states at the Fermi level comes out at 2.941 states/eV/cell.

---

No. 2
Er3Ge5Se12 | GGA-PBE | optimized geometry

a b c (Å): 13.901 13.901 13.901
angles (deg): 109.47 109.47 109.47
Fractional coordinates of all 80 atoms:
Er  0.750  0.375  0.125
Er  0.875  0.750  0.125
Er  0.375  0.750  0.625
Er  0.250  0.125  0.375
Er  0.875  0.125  0.250
Er  0.375  0.625  0.250
Er  0.625  0.375  0.750
Er  0.125  0.875  0.750
Er  0.750  0.875  0.625
Er  0.625  0.250  0.375
Er  0.125  0.250  0.875
Er  0.250  0.625  0.875
Ge  0.125  0.375  0.250
Ge  0.000  0.500  0.000
Ge  0.000  0.000  0.000
Ge  0.375  0.250  0.125
Ge  0.500  0.000  0.500
Ge  0.500  0.500  0.000
Ge  0.125  0.750  0.375
Ge  0.750  0.125  0.875
Ge  0.750  0.625  0.375
Ge  0.375  0.125  0.750
Ge  0.625  0.875  0.250
Ge  0.500  0.500  0.500
Ge  0.500  0.000  0.000
Ge  0.000  0.000  0.500
Ge  0.250  0.375  0.625
Ge  0.250  0.875  0.125
Ge  0.000  0.500  0.500
Ge  0.875  0.250  0.625
Ge  0.625  0.750  0.875
Ge  0.875  0.625  0.750
Se  0.719  0.132  0.041
Se  0.322  0.541  0.409
Se  0.959  0.368  0.281
Se  0.541  0.219  0.132
Se  0.587  0.719  0.678
Se  0.959  0.591  0.178
Se  0.322  0.781  0.413
Se  0.091  0.913  0.132
Se  0.591  0.959  0.678
Se  0.719  0.587  0.178
Se  0.781  0.459  0.368
Se  0.822  0.909  0.041
Se  0.132  0.719  0.541
Se  0.368  0.409  0.087
Se  0.087  0.909  0.368
Se  0.413  0.132  0.591
Se  0.087  0.178  0.219
Se  0.459  0.678  0.091
Se  0.822  0.913  0.281
Se  0.132  0.413  0.091
Se  0.368  0.959  0.781
Se  0.591  0.632  0.413
Se  0.909  0.822  0.541
Se  0.781  0.322  0.913
Se  0.409  0.368  0.587
Se  0.091  0.178  0.459
Se  0.219  0.678  0.087
Se  0.178  0.087  0.719
Se  0.632  0.041  0.219
Se  0.868  0.587  0.909
Se  0.541  0.322  0.909
Se  0.587  0.868  0.409
Se  0.913  0.822  0.781
Se  0.913  0.091  0.632
Se  0.868  0.281  0.459
Se  0.178  0.091  0.959
Se  0.632  0.591  0.913
Se  0.409  0.041  0.322
Se  0.281  0.413  0.822
Se  0.219  0.541  0.632
Se  0.909  0.087  0.868
Se  0.678  0.219  0.587
Se  0.459  0.781  0.868
Se  0.041  0.409  0.822
Se  0.413  0.281  0.322
Se  0.041  0.632  0.719
Se  0.678  0.459  0.591
Se  0.281  0.868  0.959

Its formation energy (no corrections) is -764 meV/atom. The total energy is -4.693 eV/atom. The density of states at the Fermi level comes out at 10.584 states/eV/cell.